! PBE with a Hubbard U Ca2Mn2O5, optimized geometry; values from VASP
! Excess energy over the best structure of this formula in the dataset   0.0 meV per atom
! Symmetry   Pbam (55)
! Density of states at the Fermi level   0.01 states/eV per atom
! Total magnetization   16.00 μB per cell
&SYSTEM
  ibrav = 0, nat = 18, ntyp = 3
/
ATOMIC_SPECIES
Ca 40.08 Ca.upf
Mn 54.94 Mn.upf
O 16.00 O.upf
CELL_PARAMETERS angstrom
5.543 0.000 0.000
0.000 10.211 0.000
0.000 0.000 3.862
ATOMIC_POSITIONS crystal
Ca 0.186 0.131 0.000
Ca 0.314 0.631 0.000
Ca 0.686 0.369 0.000
Ca 0.814 0.869 0.000
Mn 0.220 0.380 0.500
Mn 0.280 0.880 0.500
Mn 0.720 0.120 0.500
Mn 0.780 0.620 0.500
O 0.000 0.000 0.500
O 0.086 0.703 0.500
O 0.222 0.396 0.000
O 0.278 0.896 0.000
O 0.414 0.203 0.500
O 0.500 0.500 0.500
O 0.586 0.797 0.500
O 0.722 0.104 0.000
O 0.778 0.604 0.000
O 0.914 0.297 0.500